[1]
Ca2CrOs: optimized geometry, GGA-PBE.

Output
- Uncorrected energy: -5.454 eV per atom
- Total moment: 4.2 μB per cell
- Symmetry: Pmmm (47)

a b c (Å): 4.413 3.031 7.179
angles (deg): 64.96 90.00 90.00
Each line ends with the local moment (μB).
Atoms (fractional coordinates):
Cr: 0.500 0.250 0.250  3.77
Ca: 0.000 0.016 0.983  0.00
Ca: 0.000 0.484 0.517  0.00
Os: 0.500 0.750 0.750  -0.06

***

[2]
CaCr2Os: optimized geometry, GGA-PBE.

Output
- Uncorrected energy: -7.463 eV per atom
- Total moment: 1.4 μB per cell
- Symmetry: F-43m (216)

a b c (Å): 4.514 4.514 4.514
angles (deg): 60.00 60.00 60.00
Each line ends with the local moment (μB).
Atoms (fractional coordinates):
Cr: 0.000 0.000 0.000  -2.33
Cr: 0.250 0.250 0.250  3.07
Ca: 0.500 0.500 0.500  0.09
Os: 0.750 0.750 0.750  0.39

***

[3]
CaCrOs2: optimized geometry, GGA-PBE.

Output
- Uncorrected energy: -7.781 eV per atom
- Total moment: 2.2 μB per cell
- Symmetry: Cmmm (65)

a b c (Å): 5.152 5.152 2.606
angles (deg): 90.00 90.00 111.30
Each line ends with the local moment (μB).
Atoms (fractional coordinates):
Cr: 0.000 0.500 0.500  2.12
Ca: 0.500 0.000 0.500  0.02
Os: 0.000 0.000 0.000  -0.08
Os: 0.500 0.500 0.000  -0.08

***

[4]
Ca2Cr4Os: optimized geometry, GGA-PBE.

Output
- Uncorrected energy: -6.704 eV per atom
- Total moment: 14.3 μB per cell
- Symmetry: I4/mmm (139)

a b c (Å): 4.724 4.724 8.530
angles (deg): 73.93 73.93 90.00
Each line ends with the local moment (μB).
Atoms (fractional coordinates):
Cr: 0.843 0.843 0.314  3.74
Cr: 0.157 0.157 0.686  3.74
Cr: 0.000 0.500 0.000  2.89
Cr: 0.500 0.000 0.000  2.89
Ca: 0.640 0.640 0.720  0.04
Ca: 0.360 0.360 0.280  0.04
Os: 0.000 0.000 0.000  -0.63